HfInNi2B, relaxed, DFT GGA-PBE; total moment = 0.0000 μB per atom; formation energy from the elements = 1881 meV per atom
1.0
-3.125 -3.252 0.761
3.328 -2.256 4.024
-1.999 2.656 3.142
B In Ni Hf
1 1 2 1
direct
0.500 0.500 0.500 B
0.000 0.500 0.000 In
0.500 0.000 0.000 Ni
0.000 0.000 0.500 Ni
0.000 0.000 0.000 Hf

***

La2YCu, relaxed, DFT GGA-PBE; total moment = 0.0000 μB per atom; formation energy from the elements = 145 meV per atom
1.0
-3.627 0.136 -0.509
0.097 -5.087 -2.044
-0.799 -2.081 5.139
La Y Cu
2 1 1
direct
0.000 0.000 0.000 La
0.500 0.500 0.000 La
0.500 0.000 0.500 Y
0.000 0.500 0.500 Cu

***

TiCrP2, relaxed, DFT GGA-PBE; total moment = 0.5168 μB per atom; formation energy from the elements = -643 meV per atom
1.0
-3.506 0.222 -0.525
-1.304 0.001 -3.304
-1.965 -5.311 -1.135
P Cr Ti
2 1 1
direct
0.256 0.256 0.233 P
0.744 0.744 0.767 P
0.000 0.000 0.000 Cr
0.500 0.500 0.500 Ti

***

Cr2HSe, relaxed, DFT GGA-PBE; total moment = 0.0000 μB per atom
1.0
-3.943 -0.361 -1.860
1.873 -0.087 -3.953
-0.703 -5.225 -2.640
Se Cr H
2 4 2
direct
0.000 0.000 0.000 Se
0.750 0.250 0.500 Se
0.875 0.700 0.750 Cr
0.375 0.550 0.750 Cr
0.300 0.625 0.250 Cr
0.450 0.125 0.250 Cr
0.500 0.500 0.000 H
0.250 0.750 0.500 H

***

Cs3OsRu, relaxed, DFT GGA-PBE; total moment = 0.5622 μB per atom; formation energy from the elements = 1901 meV per atom
1.0
5.862 0.000 0.000
0.000 5.862 0.000
0.000 0.000 5.862
Cs Ru Os
3 1 1
direct
0.000 0.000 0.500 Cs
0.000 0.500 0.000 Cs
0.500 0.000 0.000 Cs
0.000 0.000 0.000 Ru
0.500 0.500 0.500 Os

***

Sm3MgHg2, relaxed, DFT GGA-PBE; total moment = 0.1318 μB per atom; formation energy from the elements = -348 meV per atom
1.0
3.826 0.000 0.000
0.000 3.826 0.000
0.000 0.000 11.307
Hg Mg Sm
2 1 3
direct
0.500 0.500 0.828 Hg
0.500 0.500 0.172 Hg
0.500 0.500 0.500 Mg
0.000 0.000 0.331 Sm
0.000 0.000 0.000 Sm
0.000 0.000 0.669 Sm

***

Rb2CuAgBr4, relaxed, DFT GGA-PBE; total moment = 0.0130 μB per atom
1.0
-1.914 -3.469 3.843
3.716 -7.110 -0.603
8.528 2.498 10.466
Br Rb Ag Cu
8 4 2 2
direct
0.228 0.213 0.884 Br
0.862 0.713 0.616 Br
0.522 0.287 0.616 Br
0.560 0.213 0.116 Br
0.888 0.787 0.884 Br
0.324 0.787 0.116 Br
0.190 0.287 0.384 Br
0.426 0.713 0.384 Br
0.174 0.000 0.653 Rb
0.924 0.500 0.153 Rb
0.826 0.000 0.347 Rb
0.576 0.500 0.847 Rb
0.000 0.000 0.000 Ag
0.750 0.500 0.500 Ag
0.250 0.500 0.500 Cu
0.500 0.000 0.000 Cu

***

Dy3ErTm4, relaxed, DFT GGA-PBE; total moment = 0.0000 μB per atom; formation energy from the elements = 0 meV per atom
1.0
-2.187 -5.394 2.144
6.414 -1.465 2.859
-3.060 4.985 9.420
Dy Tm Er
6 8 2
direct
0.147 0.374 0.500 Dy
0.481 0.374 0.750 Dy
0.981 0.626 0.750 Dy
0.481 0.374 0.250 Dy
0.981 0.626 0.250 Dy
0.647 0.626 0.000 Dy
0.481 0.876 0.750 Tm
0.148 0.876 0.500 Tm
0.481 0.876 0.250 Tm
0.648 0.124 0.000 Tm
0.148 0.876 0.000 Tm
0.648 0.124 0.500 Tm
0.981 0.124 0.250 Tm
0.981 0.124 0.750 Tm
0.648 0.627 0.500 Er
0.148 0.373 0.000 Er

***

no.,E (hartree per atom)
1,-0.1582
2,-0.1822
3,-0.2840
4,-0.2290
5,-0.0997
6,-0.1130
7,-0.1084
8,-0.1665